Record 1
Here is a geometry-optimized OsICl3 structure from Alexandria. Energies are from GGA-PBE.

abc: 7.0852 11.2178 11.2178
angles: 45.88 85.01 85.01
Last column: magnetic moment on the atom in μB.
Element x y z (fractional)
Os 0.2810 0.7604 0.4393  0.68
Os 0.2190 0.5607 0.2396  0.68
Os 0.7810 0.4393 0.7604  0.68
Os 0.7190 0.2396 0.5607  0.68
Cl 0.0523 0.3030 0.4148  0.05
Cl 0.6777 0.3425 0.0125  0.09
Cl 0.9244 0.6769 0.1282  0.00
Cl 0.0756 0.3231 0.8718  0.00
Cl 0.8223 0.9875 0.6575  0.09
Cl 0.4477 0.5852 0.6970  0.05
Cl 0.1777 0.0125 0.3425  0.09
Cl 0.4244 0.1282 0.6769  0.00
Cl 0.5756 0.8718 0.3231  0.00
Cl 0.3223 0.6575 0.9875  0.09
Cl 0.9477 0.6970 0.5852  0.05
Cl 0.5523 0.4148 0.3030  0.05
I 0.7500 0.5187 0.4813  0.01
I 0.2500 0.4813 0.5187  0.01
I 0.2500 0.8584 0.1416  0.12
I 0.7500 0.1416 0.8584  0.12

Properties
Uncorrected formation energy in eV/atom: -0.03
Space-group type: No. 15

---

Record 2
Here is a geometry-optimized In4CuAg3Te8 structure from Alexandria. Energies are from GGA-PBE.

abc: 6.4910 6.4910 12.9626
angles: 90.00 90.00 90.00
Element x y z (fractional)
Te 0.7581 0.7500 0.1275
Te 0.2677 0.2636 0.6167
Te 0.2636 0.7323 0.3833
Te 0.2500 0.7581 0.8725
Te 0.7323 0.7364 0.6167
Te 0.7500 0.2419 0.8725
Te 0.7364 0.2677 0.3833
Te 0.2419 0.2500 0.1275
In 0.5000 0.5000 0.0000
In 0.0000 0.5000 0.7461
In 0.5000 0.0000 0.2539
In 0.0000 0.0000 0.5000
Cu 0.5000 0.5000 0.5000
Ag 0.0000 0.5000 0.2569
Ag 0.5000 0.0000 0.7431
Ag 0.0000 0.0000 0.0000

Properties
Uncorrected formation energy in eV/atom: -0.28
Space-group type: No. 81

---

Record 3
Here is a geometry-optimized UCr6P4 structure from Alexandria. Energies are from GGA-PBE.

abc: 3.4785 6.8874 11.8998
angles: 90.00 90.00 90.00
Last column: magnetic moment on the atom in μB.
Element x y z (fractional)
Cr 0.0000 0.8040 0.0896  0.89
Cr 0.0000 0.3048 0.5769  -0.71
Cr 0.5000 0.1952 0.4231  -0.71
Cr 0.5000 0.5000 0.7189  -1.12
Cr 0.5000 0.6960 0.9104  0.89
Cr 0.0000 0.6952 0.5769  -0.71
Cr 0.5000 0.5000 0.1153  1.02
Cr 0.0000 0.1960 0.0896  0.89
Cr 0.0000 0.0000 0.2811  -1.12
Cr 0.5000 0.8048 0.4231  -0.71
Cr 0.5000 0.3040 0.9104  0.89
Cr 0.0000 0.0000 0.8847  1.02
P 0.0000 0.2830 0.7742  0.00
P 0.0000 0.0000 0.4891  0.03
P 0.5000 0.5000 0.5109  0.03
P 0.5000 0.2170 0.2258  0.00
P 0.5000 0.0000 0.0117  -0.04
P 0.5000 0.7830 0.2258  0.00
P 0.0000 0.7170 0.7742  0.00
P 0.0000 0.5000 0.9883  -0.04
U 0.5000 0.0000 0.6812  -0.78
U 0.0000 0.5000 0.3188  -0.78

Properties
Final energy in eV/atom: -8.7931
Space-group type: No. 59

---

Record 4
Here is a geometry-optimized DyPu5P6 structure from Alexandria. Energies are from GGA-PBE.

abc: 6.9114 6.9114 6.9181
angles: 99.61 99.61 119.94
Last column: magnetic moment on the atom in μB.
Element x y z (fractional)
Pu 0.1653 0.8347 0.5000  -4.89
Pu 0.6659 0.3341 0.0000  -4.89
Pu 0.8347 0.1653 0.5000  -4.89
Pu 0.5000 0.5000 0.5000  4.94
Pu 0.3341 0.6659 0.0000  -4.89
P 0.0811 0.4203 0.2502  0.08
P 0.5797 0.9189 0.7498  0.08
P 0.9189 0.5797 0.7498  0.08
P 0.7487 0.7487 0.2503  0.09
P 0.2513 0.2513 0.7497  0.09
P 0.4203 0.0811 0.2502  0.08
Dy 0.0000 0.0000 0.0000  0.03

Properties
Final energy in eV/atom: -10.2574
Space-group type: No. 12

---

Record 5
Here is a geometry-optimized Th2Ga3Pt4Au structure from Alexandria. Energies are from GGA-PBE.

abc: 4.1076 4.1076 11.7036
angles: 90.00 90.00 90.00
Element x y z (fractional)
Pt 0.5000 0.5000 0.0000
Pt 0.5000 0.0000 0.6637
Pt 0.0000 0.0000 0.0000
Pt 0.0000 0.5000 0.3363
Ga 0.0000 0.0000 0.5000
Ga 0.5000 0.0000 0.8747
Ga 0.0000 0.5000 0.1253
Th 0.5000 0.0000 0.2537
Th 0.0000 0.5000 0.7463
Au 0.5000 0.5000 0.5000

Properties
Final energy in eV/atom: -6.0277
Space-group type: No. 115

---

Record 6
Here is a geometry-optimized Er4TmMg3 structure from Alexandria. Energies are from GGA-PBE.

abc: 3.8198 5.3584 10.8354
angles: 90.00 90.00 90.00
Element x y z (fractional)
Mg 0.5000 0.0000 0.2512
Mg 0.5000 0.0000 0.7488
Mg 0.5000 0.5000 0.5000
Er 0.0000 0.5000 0.7405
Er 0.0000 0.5000 0.2595
Er 0.0000 0.0000 0.0000
Er 0.0000 0.0000 0.5000
Tm 0.5000 0.5000 0.0000

Properties
Final energy in eV/atom: -3.4399
Space-group type: No. 47